[1]
The following is a PBE with a Hubbard U calculation of a relaxed Ac2MnSbO8 crystal, from Alexandria via LeMat-Bulk.

Results
The calculation puts the magnetic moment at 1.97 μB per formula unit. The calculation puts the volume at 15.53 A^3/atom. The calculation puts the total DFT energy (no corrections) at -7.1184 eV/atom.

Cell lengths 5.465, 6.324, 6.028 Å; angles 77.25, 102.97, 111.72 degrees
Each line ends with the local moment (μB).
Element x y z (fractional)
O  0.755  0.679  0.016  -0.09
O  0.779  0.059  0.678  -0.06
Sb  0.000  0.000  0.000  0.02
Mn  0.000  0.000  0.500  3.11
O  0.797  0.677  0.538  -0.26
O  0.245  0.321  0.984  -0.09
O  0.213  0.944  0.797  -0.12
O  0.203  0.323  0.462  -0.26
Ac  0.627  0.343  0.315  0.00
O  0.787  0.056  0.203  -0.12
O  0.221  0.941  0.322  -0.06
Ac  0.373  0.657  0.685  0.00



[2]
The following is a PBE with a Hubbard U calculation of a relaxed Ac2ScMnO6 crystal, from Alexandria via LeMat-Bulk.

Results
The calculation puts the magnetic moment at 4.00 μB per formula unit. The calculation puts the volume at 13.46 A^3/atom. The calculation puts the total DFT energy (no corrections) at -8.1559 eV/atom.

Cell lengths 4.089, 4.089, 8.049 Å; angles 90.00, 90.00, 90.00 degrees
Each line ends with the local moment (μB).
Element x y z (fractional)
O  0.500  0.000  0.500  -0.03
O  0.500  0.500  0.742  -0.02
O  0.000  0.500  0.000  0.00
Sc  0.500  0.500  0.000  0.00
O  0.000  0.500  0.500  -0.03
Ac  0.000  0.000  0.744  0.01
Ac  0.000  0.000  0.256  0.01
O  0.500  0.000  0.000  0.00
Mn  0.500  0.500  0.500  3.96
O  0.500  0.500  0.258  -0.02



[3]
The following is a PBE with a Hubbard U calculation of a relaxed Ac3Sc2MnO9 crystal, from Alexandria via LeMat-Bulk.

Results
The calculation puts the magnetic moment at 2.00 μB per formula unit. The calculation puts the volume at 13.36 A^3/atom. The calculation puts the total DFT energy (no corrections) at -8.2019 eV/atom.

Cell lengths 5.749, 5.749, 7.001 Å; angles 90.00, 90.00, 120.00 degrees
Each line ends with the local moment (μB).
Element x y z (fractional)
Ac  0.000  0.000  0.000  0.00
Mn  0.000  0.000  0.500  1.98
Sc  0.333  0.667  0.172  -0.01
Ac  0.333  0.667  0.662  0.00
Ac  0.667  0.333  0.338  0.00
O  0.500  0.000  0.000  0.00
O  0.837  0.163  0.659  -0.01
O  0.837  0.675  0.659  -0.01
O  0.500  0.500  0.000  0.00
O  0.163  0.837  0.341  -0.01
O  0.675  0.837  0.341  -0.01
Sc  0.667  0.333  0.828  -0.01
O  0.325  0.163  0.659  -0.01
O  0.000  0.500  0.000  0.00
O  0.163  0.325  0.341  -0.01



[4]
The following is a PBE with a Hubbard U calculation of a relaxed AcSc4Mn3O12 crystal, from Alexandria via LeMat-Bulk.

Results
The calculation puts the magnetic moment at 11.95 μB per formula unit. The calculation puts the volume at 11.97 A^3/atom. The calculation puts the total DFT energy (no corrections) at -8.3363 eV/atom.

Cell lengths 6.775, 6.775, 6.775 Å; angles 109.47, 109.47, 109.47 degrees
Each line ends with the local moment (μB).
Element x y z (fractional)
O  0.687  0.167  0.854  -0.02
O  0.519  0.687  0.833  -0.02
O  0.167  0.481  0.313  -0.02
Sc  0.000  0.500  0.000  0.01
Mn  0.000  0.500  0.500  3.92
O  0.854  0.687  0.167  -0.02
Sc  0.000  0.000  0.500  0.01
O  0.146  0.313  0.833  -0.02
Sc  0.500  0.000  0.000  0.01
O  0.167  0.854  0.687  -0.02
Mn  0.500  0.000  0.500  3.92
O  0.313  0.833  0.146  -0.02
O  0.833  0.146  0.313  -0.02
Mn  0.500  0.500  0.000  3.92
O  0.481  0.313  0.167  -0.02
O  0.687  0.833  0.519  -0.02
O  0.833  0.519  0.687  -0.02
Ac  0.000  0.000  0.000  0.02
O  0.313  0.167  0.481  -0.02
Sc  0.500  0.500  0.500  0.01